Here is NpV2O8F after structural relaxation from Alexandria. Energies are from PBE with a Hubbard U.

## Properties
Energy ... -7.707 eV per atom

Lattice parameters (Å, degrees): 6.2738 6.2738 4.8113 89.81 89.81 60.80
Closest atoms and distances in Å follow each position.
Fractional coordinates of all 12 atoms:
1 V 0.3337 0.3337 0.7238  3 O 1.63-1.77
2 V 0.6663 0.6663 0.2762  3 O 1.63-1.77
3 O 0.8187 0.3566 0.1724  1 V 1.77
4 O 0.8274 0.8274 0.1583  1 V 1.83, 1 Np 2.01
5 O 0.3566 0.8187 0.1724  1 V 1.77
6 O 0.3297 0.3297 0.3853  1 V 1.63
7 O 0.1726 0.1726 0.8417  1 V 1.83, 1 Np 2.01
8 O 0.1813 0.6434 0.8276  1 V 1.77
9 O 0.6703 0.6703 0.6147  1 V 1.63
10 O 0.6434 0.1813 0.8276  1 V 1.77
11 Np 0.0000 0.0000 0.0000  6 O 2.01-2.12
12 F 0.0000 0.0000 0.5000  2 Np 2.41, 6 O 2.49-2.51